First-principles (GGA-PBE) data for TbNdY2Er2 after structural relaxation, as listed in the Alexandria database.

Cell and atoms, written as POSCAR:
```
TbNdY2Er2
1.0
6.526 0.000 0.000
0.000 17.852 0.000
0.000 0.000 3.407
Tb Nd Y Er
2 2 4 4
Cartesian
0.000 0.000 0.000
3.263 8.926 1.704
0.000 8.926 0.000
3.263 0.000 1.704
1.445 5.585 0.000
1.818 14.511 1.704
4.708 3.341 1.704
5.081 12.267 0.000
1.432 2.627 1.704
1.831 11.553 0.000
4.696 6.299 0.000
5.094 15.225 1.704
```

* DFT formation energy: 270 meV per atom
* calculated density: 6.82 g/cm³
* calculated volume: 397 Å³/cell
* DFT total energy: -59.664 eV per cell

=====

First-principles (GGA-PBE) data for TbNd2Y2Er4 after structural relaxation, as listed in the Alexandria database.

Cell and atoms, written as POSCAR:
```
TbNd2Y2Er4
1.0
9.334 -1.799 0.000
9.334 1.799 0.000
-4.150 0.000 8.607
Tb Nd Y Er
1 2 2 4
Cartesian
0.000 0.000 0.000
2.098 0.000 8.596
12.420 0.000 0.011
-0.012 0.000 5.701
14.530 0.000 2.906
2.061 0.000 2.900
6.210 0.000 5.727
8.308 0.000 2.881
12.457 0.000 5.707
```

* DFT formation energy: -3 meV per atom
* calculated density: 7.44 g/cm³
* calculated volume: 289 Å³/cell
* DFT total energy: -45.376 eV per cell

=====

First-principles (GGA-PBE) data for Tb4Nd2Y2Er after structural relaxation, as listed in the Alexandria database.

Cell and atoms, written as POSCAR:
```
Tb4Nd2Y2Er
1.0
9.381 -1.809 0.000
9.381 1.809 0.000
-4.168 0.000 8.659
Tb Nd Y Er
4 2 2 1
Cartesian
-1.033 0.000 2.886
3.135 0.000 5.757
11.460 0.000 2.902
15.627 0.000 5.773
-1.065 0.000 8.657
15.660 0.000 0.002
5.224 0.000 2.917
9.370 0.000 5.742
9.381 0.000 0.000
```

* DFT formation energy: -1 meV per atom
* calculated density: 7.17 g/cm³
* calculated volume: 294 Å³/cell
* DFT total energy: -45.558 eV per cell

=====

First-principles (GGA-PBE) data for TbNd2YEr after structural relaxation, as listed in the Alexandria database.

Cell and atoms, written as POSCAR:
```
TbNd2YEr
1.0
4.201 -5.820 0.000
4.201 5.820 0.000
0.000 0.000 7.258
Tb Nd Y Er
2 4 2 2
Cartesian
4.201 3.331 5.443
4.201 -3.331 1.814
1.634 0.000 0.000
1.634 0.000 3.629
6.768 0.000 0.000
6.768 0.000 3.629
4.201 2.982 1.814
4.201 -2.982 5.443
4.201 0.274 5.443
4.201 -0.274 1.814
```

* DFT formation energy: 403 meV per atom
* calculated density: 6.58 g/cm³
* calculated volume: 355 Å³/cell
* DFT total energy: -46.354 eV per cell

=====

First-principles (GGA-PBE) data for Tb2NdY4Er2 after structural relaxation, as listed in the Alexandria database.

Cell and atoms, written as POSCAR:
```
Tb2NdY4Er2
1.0
9.341 -1.800 0.000
9.341 1.800 0.000
-4.151 0.000 8.615
Tb Nd Y Er
2 1 4 2
Cartesian
2.079 0.000 1.445
12.452 0.000 7.170
-2.076 0.000 4.307
0.011 0.000 7.186
8.306 0.000 1.417
6.226 0.000 7.198
14.521 0.000 1.429
4.126 0.000 4.306
10.405 0.000 4.309
```

* DFT formation energy: 1 meV per atom
* calculated density: 6.61 g/cm³
* calculated volume: 290 Å³/cell
* DFT total energy: -49.000 eV per cell

=====

First-principles (GGA-PBE) data for Tb3Nd6Y2Er after structural relaxation, as listed in the Alexandria database.

Cell and atoms, written as POSCAR:
```
Tb3Nd6Y2Er
1.0
3.144 -5.444 0.000
3.144 5.444 0.000
-2.089 0.000 11.707
Tb Nd Y Er
3 6 2 1
Cartesian
0.000 0.000 0.000
3.144 1.815 0.000
3.144 -1.815 0.000
1.051 1.809 2.930
0.013 0.000 8.778
1.051 -1.809 2.930
3.147 1.809 8.777
4.185 0.000 2.929
3.147 -1.809 8.777
2.099 3.630 5.853
2.099 -3.630 5.853
2.099 0.000 5.853
```

* DFT formation energy: 10 meV per atom
* calculated density: 6.99 g/cm³
* calculated volume: 401 Å³/cell
* DFT total energy: -59.866 eV per cell

=====

First-principles (GGA-PBE) data for Tb2Nd2YEr4 after structural relaxation, as listed in the Alexandria database.

Cell and atoms, written as POSCAR:
```
Tb2Nd2YEr4
1.0
9.333 -1.799 0.000
9.333 1.799 0.000
-4.153 0.000 8.610
Tb Nd Y Er
2 2 1 4
Cartesian
2.071 0.000 1.399
12.443 0.000 7.211
4.162 0.000 4.305
10.352 0.000 4.306
-2.076 0.000 4.305
-0.014 0.000 7.205
8.285 0.000 1.414
6.229 0.000 7.196
14.527 0.000 1.405
```

* DFT formation energy: -1 meV per atom
* calculated density: 7.84 g/cm³
* calculated volume: 289 Å³/cell
* DFT total energy: -43.523 eV per cell

=====

First-principles (GGA-PBE) data for Tb2Nd2Y6Er after structural relaxation, as listed in the Alexandria database.

Cell and atoms, written as POSCAR:
```
Tb2Nd2Y6Er
1.0
2.840 -6.040 0.000
2.840 6.040 0.000
0.000 0.000 10.635
Tb Nd Y Er
2 2 6 1
Cartesian
2.840 3.541 0.000
2.840 -3.541 0.000
2.840 4.430 5.318
2.840 -4.430 5.318
0.000 0.000 2.150
0.000 0.000 8.485
2.840 1.843 3.093
2.840 1.843 7.542
2.840 -1.843 3.093
2.840 -1.843 7.542
2.840 0.000 0.000
```

* DFT formation energy: 142 meV per atom
* calculated density: 5.95 g/cm³
* calculated volume: 365 Å³/cell
* DFT total energy: -60.583 eV per cell

=====

First-principles (GGA-PBE) data for TbNd2Y5Er after structural relaxation, as listed in the Alexandria database.

Cell and atoms, written as POSCAR:
```
TbNd2Y5Er
1.0
-4.334 4.334 7.868
4.334 -4.334 7.868
4.334 4.334 -7.868
Tb Nd Y Er
2 4 10 2
Cartesian
0.000 0.000 3.934
0.000 0.000 11.802
5.353 1.019 0.000
1.019 3.316 0.000
3.316 1.019 7.868
-1.019 3.316 7.868
0.000 0.000 0.000
2.503 1.832 -2.196
2.503 -1.832 5.673
2.503 1.832 2.196
2.503 -1.832 10.064
0.000 0.000 7.868
1.832 6.166 -2.196
1.832 2.503 5.673
1.832 6.166 2.196
1.832 2.503 10.064
4.334 0.000 3.934
0.000 4.334 3.934
```

* DFT formation energy: 259 meV per atom
* calculated density: 5.95 g/cm³
* calculated volume: 591 Å³/cell
* DFT total energy: -97.429 eV per cell

=====

First-principles (GGA-PBE) data for Tb3NdYEr after structural relaxation, as listed in the Alexandria database.

Cell and atoms, written as POSCAR:
```
Tb3NdYEr
1.0
9.300 -2.883 0.000
9.300 2.883 0.000
-0.032 0.000 7.352
Tb Nd Y Er
6 2 2 2
Cartesian
0.418 0.000 1.807
5.299 0.000 1.829
6.081 0.000 5.540
12.488 0.000 1.812
13.270 0.000 5.523
18.151 0.000 5.545
8.576 0.000 1.827
9.993 0.000 5.525
2.735 0.000 3.942
15.834 0.000 3.410
2.732 0.000 7.063
15.837 0.000 0.290
```

* DFT formation energy: 191 meV per atom
* calculated density: 7.39 g/cm³
* calculated volume: 394 Å³/cell
* DFT total energy: -57.082 eV per cell

=====

First-principles (GGA-PBE) data for Tb2Nd6YEr3 after structural relaxation, as listed in the Alexandria database.

Cell and atoms, written as POSCAR:
```
Tb2Nd6YEr3
1.0
3.136 -5.430 0.000
3.136 5.430 0.000
-2.083 0.000 11.658
Tb Nd Y Er
2 6 1 3
Cartesian
3.136 3.621 0.000
3.136 -3.621 0.000
0.001 1.814 8.725
1.046 0.000 2.937
0.001 -1.814 8.725
4.188 1.814 2.933
3.143 0.000 8.721
4.188 -1.814 2.933
3.136 0.000 0.000
-1.041 0.000 5.829
2.094 1.810 5.829
2.094 -1.810 5.829
```

* DFT formation energy: 12 meV per atom
* calculated density: 7.42 g/cm³
* calculated volume: 397 Å³/cell
* DFT total energy: -57.881 eV per cell

=====

First-principles (GGA-PBE) data for TbNdY2Er5 after structural relaxation, as listed in the Alexandria database.

Cell and atoms, written as POSCAR:
```
TbNdY2Er5
1.0
2.800 -9.846 0.000
2.800 9.846 0.000
0.000 0.000 10.573
Tb Nd Y Er
2 2 4 10
Cartesian
2.800 5.878 5.286
2.800 -5.878 0.000
2.800 1.633 9.961
2.800 -1.633 4.674
2.800 7.676 2.356
2.800 7.617 8.549
2.800 -7.617 3.262
2.800 -7.676 7.643
2.800 9.475 5.443
2.800 4.283 8.444
2.800 3.969 2.089
2.800 2.165 5.399
2.800 0.418 2.376
2.800 -0.418 7.662
2.800 -2.165 0.112
2.800 -3.969 7.375
2.800 -4.283 3.158
2.800 -9.475 0.156
```

* DFT formation energy: 158 meV per atom
* calculated density: 7.50 g/cm³
* calculated volume: 583 Å³/cell
* DFT total energy: -87.437 eV per cell

=====

First-principles (GGA-PBE) data for Tb3Nd6YEr2 after structural relaxation, as listed in the Alexandria database.

Cell and atoms, written as POSCAR:
```
Tb3Nd6YEr2
1.0
3.139 -5.436 0.000
3.139 5.436 0.000
-2.086 0.000 11.682
Tb Nd Y Er
3 6 1 2
Cartesian
0.000 0.000 0.000
3.139 1.813 0.000
3.139 -1.813 0.000
1.041 1.818 2.932
0.002 0.000 8.751
1.041 -1.818 2.932
3.151 1.818 8.751
4.190 0.000 2.932
3.151 -1.818 8.751
2.096 0.000 5.841
2.096 3.624 5.841
2.096 -3.624 5.841
```

* DFT formation energy: 11 meV per atom
* calculated density: 7.35 g/cm³
* calculated volume: 399 Å³/cell
* DFT total energy: -57.953 eV per cell

=====

First-principles (GGA-PBE) data for Tb6NdY2Er3 after structural relaxation, as listed in the Alexandria database.

Cell and atoms, written as POSCAR:
```
Tb6NdY2Er3
1.0
3.083 -5.335 0.000
3.083 5.335 0.000
-2.042 0.000 11.620
Tb Nd Y Er
6 1 2 3
Cartesian
0.013 1.778 8.752
1.028 0.000 2.870
0.013 -1.778 8.752
4.111 1.778 2.868
3.096 0.000 8.751
4.111 -1.778 2.868
-1.021 0.000 5.810
2.062 1.778 5.810
2.062 -1.778 5.810
3.083 3.553 0.000
3.083 0.000 0.000
3.083 -3.553 0.000
```

* DFT formation energy: 18 meV per atom
* calculated density: 7.72 g/cm³
* calculated volume: 382 Å³/cell
* DFT total energy: -58.953 eV per cell

=====

First-principles (GGA-PBE) data for TbNd2Y2Er2 after structural relaxation, as listed in the Alexandria database.

Cell and atoms, written as POSCAR:
```
TbNd2Y2Er2
1.0
5.883 -1.760 0.000
5.883 1.760 0.000
-3.806 0.000 11.203
Tb Nd Y Er
1 2 2 2
Cartesian
0.000 0.000 0.000
2.278 0.000 4.642
5.682 0.000 6.561
2.535 0.000 8.176
5.425 0.000 3.027
-0.612 0.000 9.695
8.572 0.000 1.508
```

* DFT formation energy: 85 meV per atom
* calculated density: 6.87 g/cm³
* calculated volume: 232 Å³/cell
* DFT total energy: -35.623 eV per cell

=====

First-principles (GGA-PBE) data for TbNd6Y2Er3 after structural relaxation, as listed in the Alexandria database.

Cell and atoms, written as POSCAR:
```
TbNd6Y2Er3
1.0
3.136 -5.431 0.000
3.136 5.431 0.000
-2.083 0.000 11.655
Tb Nd Y Er
1 6 2 3
Cartesian
0.000 0.000 0.000
1.046 1.807 2.934
0.001 0.000 8.721
1.046 -1.807 2.934
3.143 1.807 8.721
4.188 0.000 2.934
3.143 -1.807 8.721
3.136 1.810 0.000
3.136 -1.810 0.000
2.095 3.620 5.828
2.095 0.000 5.828
2.095 -3.620 5.828
```

* DFT formation energy: 11 meV per atom
* calculated density: 7.13 g/cm³
* calculated volume: 397 Å³/cell
* DFT total energy: -59.719 eV per cell

=====

First-principles (GGA-PBE) data for TbNd6YEr2 after structural relaxation, as listed in the Alexandria database.

Cell and atoms, written as POSCAR:
```
TbNd6YEr2
1.0
4.627 -7.667 0.000
4.627 7.667 0.000
-1.299 0.000 9.604
Tb Nd Y Er
2 12 2 4
Cartesian
3.653 7.237 7.203
4.302 -7.237 2.401
1.775 4.228 6.581
3.981 4.952 0.521
4.623 4.952 4.281
2.570 1.660 8.457
5.530 4.228 7.826
4.735 1.660 5.949
3.220 -1.660 3.655
2.424 -4.228 1.779
5.385 -1.660 1.147
3.332 -4.952 5.324
3.974 -4.952 9.083
6.180 -4.228 3.024
4.302 1.386 2.401
3.653 -1.386 7.203
1.591 0.747 5.242
2.240 -0.747 0.439
5.714 0.747 9.165
6.364 -0.747 4.363
```

* DFT formation energy: 114 meV per atom
* calculated density: 7.06 g/cm³
* calculated volume: 681 Å³/cell
* DFT total energy: -95.381 eV per cell

=====

First-principles (GGA-PBE) data for TbNd4Y2Er2 after structural relaxation, as listed in the Alexandria database.

Cell and atoms, written as POSCAR:
```
TbNd4Y2Er2
1.0
7.655 -2.548 0.000
7.655 2.548 0.000
-2.540 0.000 7.646
Tb Nd Y Er
1 4 2 2
Cartesian
0.000 0.000 0.000
2.563 0.000 2.529
5.118 0.000 5.127
7.652 0.000 2.519
10.208 0.000 5.116
0.008 0.000 5.120
12.762 0.000 2.525
5.091 0.000 0.000
7.679 0.000 7.646
```

* DFT formation energy: 20 meV per atom
* calculated density: 6.95 g/cm³
* calculated volume: 298 Å³/cell
* DFT total energy: -45.576 eV per cell

=====

First-principles (GGA-PBE) data for Tb2NdYEr6 after structural relaxation, as listed in the Alexandria database.

Cell and atoms, written as POSCAR:
```
Tb2NdYEr6
1.0
4.501 -7.508 0.000
4.501 7.508 0.000
-1.257 0.000 9.454
Tb Nd Y Er
4 2 2 12
Cartesian
2.190 0.795 0.424
1.562 -0.795 5.151
6.183 0.795 4.303
5.554 -0.795 9.030
4.186 7.154 2.364
3.558 -7.154 7.091
3.558 1.371 7.091
4.186 -1.371 2.364
2.427 4.110 1.727
3.220 4.676 5.270
3.896 4.676 8.912
3.116 1.621 3.600
5.945 4.110 3.000
5.257 1.621 1.127
2.488 -1.621 8.327
1.799 -4.110 6.455
4.628 -1.621 5.854
3.849 -4.676 0.543
4.524 -4.676 4.184
5.317 -4.110 7.727
```

* DFT formation energy: 118 meV per atom
* calculated density: 8.08 g/cm³
* calculated volume: 639 Å³/cell
* DFT total energy: -93.371 eV per cell

=====

First-principles (GGA-PBE) data for Tb2Nd3Y6Er after structural relaxation, as listed in the Alexandria database.

Cell and atoms, written as POSCAR:
```
Tb2Nd3Y6Er
1.0
3.114 -5.391 0.000
3.114 5.391 0.000
-2.067 0.000 11.684
Tb Nd Y Er
2 3 6 1
Cartesian
3.114 3.595 0.000
3.114 -3.595 0.000
-1.034 0.000 5.842
2.081 1.797 5.842
2.081 -1.797 5.842
0.008 1.796 8.802
1.042 0.000 2.883
0.008 -1.796 8.802
4.154 1.796 2.882
3.120 0.000 8.800
4.154 -1.796 2.882
3.114 0.000 0.000
```

* DFT formation energy: 17 meV per atom
* calculated density: 6.14 g/cm³
* calculated volume: 392 Å³/cell
* DFT total energy: -66.705 eV per cell